# PbCl2F2 SCAN PBEsol geometry
# **Total moment**: 0.000 μB per formula unit
# **E_tot**: -20.974 eV per atom
data_PbCl2F2
_chemical_formula_sum 'Pb2 Cl4 F4'
_cell_length_a 5.542
_cell_length_b 6.431
_cell_length_c 6.431
_cell_angle_alpha 90.00
_cell_angle_beta 90.00
_cell_angle_gamma 90.00
_space_group_name_H-M_alt 'P 1'
_space_group_IT_number 1
loop_
_space_group_symop_operation_xyz
'x,y,z'
loop_
_atom_site_label
_atom_site_type_symbol
_atom_site_fract_x
_atom_site_fract_y
_atom_site_fract_z
Cl1 Cl 0.500 0.391 0.109
Cl2 Cl 0.500 0.609 0.891
Cl3 Cl 0.500 0.891 0.391
Cl4 Cl 0.500 0.109 0.609
F1 F 0.000 0.193 0.307
F2 F 0.000 0.693 0.193
F3 F 0.000 0.807 0.693
F4 F 0.000 0.307 0.807
Pb1 Pb 0.000 0.500 0.500
Pb2 Pb 0.000 0.000 0.000



# PdSCl2F SCAN PBEsol geometry
# **Total moment**: 2.932 μB per formula unit
# **E_tot**: -11.905 eV per atom
# **D(E_F)**: 0.5260 states/eV/atom
data_PdSCl2F
_chemical_formula_sum 'Pd1 S1 Cl2 F1'
_cell_length_a 3.524
_cell_length_b 5.169
_cell_length_c 5.169
_cell_angle_alpha 90.00
_cell_angle_beta 90.00
_cell_angle_gamma 90.00
_space_group_name_H-M_alt 'P 1'
_space_group_IT_number 1
loop_
_space_group_symop_operation_xyz
'x,y,z'
loop_
_atom_site_label
_atom_site_type_symbol
_atom_site_fract_x
_atom_site_fract_y
_atom_site_fract_z
Cl1 Cl 0.000 0.000 0.500
Cl2 Cl 0.000 0.500 0.000
F1 F 0.000 0.000 0.000
Pd1 Pd 0.500 0.500 0.500
S1 S 0.500 0.000 0.000